1.
Here is crystalline Tl3Hg2Se at its relaxed geometry from Alexandria via LeMat-Bulk. Energies are from PBE.

Unit cell a=10.4660 b=12.6217 c=23.4524 alpha=90.00 beta=90.00 gamma=90.00
Space group Fddd (No. 70, origin choice 2)
Asymmetric unit:
1 Tl 0.0689 0.3750 0.3750 (multiplicity 16)
2 Tl 0.1136 0.3627 0.0391 (multiplicity 32)
3 Hg 0.1250 0.1250 0.3676 (multiplicity 16)
4 Hg 0.1250 0.1250 0.5560 (multiplicity 16)
5 Se 0.1250 0.1250 0.0279 (multiplicity 16)

Properties
Formation energy (no corrections) (kJ per mole of atoms): -14.51

=====

2.
Here is crystalline Cu2ReAu at its relaxed geometry from Alexandria via LeMat-Bulk. Energies are from PBE.

Unit cell a=8.7964 b=2.6526 c=5.0188 alpha=90.00 beta=97.51 gamma=90.00
Space group C2/m (No. 12)
Asymmetric unit:
1 Cu 0.2467 0.0000 0.2262 (multiplicity 4)
2 Re 0.0000 0.5000 0.0000 (multiplicity 2)
3 Au 0.0000 0.0000 0.5000 (multiplicity 2)

Properties
Energy relative to the elements (eV per atom): 0.34
Energy above the most stable polymorph in this dataset (eV per atom): 0.133

=====

3.
Here is crystalline LaSm2Ge4 at its relaxed geometry from Alexandria via LeMat-Bulk. Energies are from PBE.

Unit cell a=4.0991 b=4.4537 c=18.5163 alpha=90.00 beta=90.00 gamma=90.00
Space group Immm (No. 71)
Asymmetric unit:
1 La 0.0000 0.0000 0.0000 (multiplicity 2)
2 Sm 0.0000 0.5000 0.3189 (multiplicity 4)
3 Ge 0.0000 0.0000 0.4321 (multiplicity 4)
4 Ge 0.0000 0.5000 0.1568 (multiplicity 4)

Properties
Energy relative to the elements (eV per atom): -0.79

=====

4.
Here is crystalline Te2PAu2 at its relaxed geometry from Alexandria via LeMat-Bulk. Energies are from PBE.

Unit cell a=7.4947 b=7.4947 c=3.9899 alpha=90.00 beta=90.00 gamma=90.00
Space group P4/mbm (No. 127)
Asymmetric unit:
1 Te 0.1737 0.3263 0.0000 (multiplicity 4)
2 P 0.0000 0.0000 0.5000 (multiplicity 2)
3 Au 0.1355 0.6355 0.5000 (multiplicity 4)

Properties
Formation energy (no corrections) (kJ per mole of atoms): 44.66
Energy above the most stable polymorph in this dataset (eV per atom): 0.030

=====

5.
Here is crystalline In2NiHgH at its relaxed geometry from Alexandria via LeMat-Bulk. Energies are from PBE.

Unit cell a=5.3444 b=5.3444 c=3.3270 alpha=90.00 beta=90.00 gamma=90.00
Space group P4/mmm (No. 123)
Asymmetric unit:
1 In 0.0000 0.5000 0.0000 (multiplicity 2)
2 Ni 0.0000 0.0000 0.0000 (multiplicity 1)
3 Hg 0.5000 0.5000 0.5000 (multiplicity 1)
4 H 0.0000 0.0000 0.5000 (multiplicity 1)

=====

6.
Here is crystalline Be2Si at its relaxed geometry from Alexandria via LeMat-Bulk. Energies are from PBE.

Unit cell a=2.4497 b=2.4497 c=10.3526 alpha=90.00 beta=90.00 gamma=90.00
Space group I4/mmm (No. 139)
Asymmetric unit:
1 Be 0.0000 0.0000 0.1800 (multiplicity 4)
2 Si 0.0000 0.0000 0.5000 (multiplicity 2)

Properties
Formation energy (no corrections) (kJ per mole of atoms): 33.62
Energy above the most stable polymorph in this dataset (eV per atom): 0.212

=====

7.
Here is crystalline CdIrPdO6 at its relaxed geometry from Alexandria via LeMat-Bulk. Energies are from PBE.

Unit cell a=5.2611 b=5.2611 c=9.5990 alpha=90.00 beta=90.00 gamma=120.00
Space group P-31c (No. 163)
Asymmetric unit:
1 Cd 0.0000 0.0000 0.0000 (multiplicity 2)
2 Ir 0.3333 0.6667 0.2500 (multiplicity 2)
3 Pd 0.3333 0.6667 0.7500 (multiplicity 2)
4 O 0.0101 0.3708 0.1383 (multiplicity 12)

Properties
Formation energy (no corrections) (kJ per mole of atoms): -56.76

=====

8.
Here is crystalline La3SmTl4 at its relaxed geometry from Alexandria via LeMat-Bulk. Energies are from PBE.

Unit cell a=3.9289 b=3.9289 c=16.0025 alpha=90.00 beta=90.00 gamma=90.00
Space group P4/mmm (No. 123)
Asymmetric unit:
1 La 0.0000 0.0000 0.0000 (multiplicity 1)
2 La 0.0000 0.0000 0.2550 (multiplicity 2)
3 Sm 0.0000 0.0000 0.5000 (multiplicity 1)
4 Tl 0.5000 0.5000 0.1276 (multiplicity 2)
5 Tl 0.5000 0.5000 0.3840 (multiplicity 2)

Properties
Energy relative to the elements (eV per atom): -0.41

=====

9.
Here is crystalline Y4GaTe at its relaxed geometry from Alexandria via LeMat-Bulk. Energies are from PBE.

Unit cell a=9.3640 b=13.6463 c=6.7350 alpha=90.00 beta=126.58 gamma=90.00
Space group C2/c (No. 15)
Asymmetric unit:
1 Y 0.1432 0.1911 0.1397 (multiplicity 8)
2 Y 0.1789 0.4357 0.2552 (multiplicity 8)
3 Ga 0.0000 0.3590 0.7500 (multiplicity 4)
4 Te 0.0000 0.0218 0.7500 (multiplicity 4)

Properties
Formation energy (no corrections) (kJ per mole of atoms): -54.04
Energy above the most stable polymorph in this dataset (eV per atom): 0.089

=====

10.
Here is crystalline CsYCl3 at its relaxed geometry from Alexandria via LeMat-Bulk. Energies are from PBE.

Unit cell a=9.0007 b=3.8572 c=10.7261 alpha=90.00 beta=114.02 gamma=90.00
Space group Pm (No. 6)
Asymmetric unit:
1 Cs 0.0000 0.0000 0.0000 (multiplicity 1)
2 Cs 0.4669 0.0000 0.6918 (multiplicity 1)
3 Y 0.6154 0.5000 0.2018 (multiplicity 1)
4 Y 0.8721 0.0000 0.5137 (multiplicity 1)
5 Cl 0.1202 0.5000 0.5713 (multiplicity 1)
6 Cl 0.3942 0.0000 0.0399 (multiplicity 1)
7 Cl 0.5450 0.0000 0.3668 (multiplicity 1)
8 Cl 0.6813 0.5000 0.9674 (multiplicity 1)
9 Cl 0.8161 0.5000 0.6860 (multiplicity 1)
10 Cl 0.8568 0.0000 0.2595 (multiplicity 1)

Properties
Formation energy (no corrections) (kJ per mole of atoms): -187.79

=====

11.
Here is crystalline Pd2Pt5Rh4 at its relaxed geometry from Alexandria via LeMat-Bulk. Energies are from PBE.

Unit cell a=9.5853 b=5.4415 c=6.7753 alpha=90.00 beta=94.32 gamma=90.00
Space group C2/m (No. 12)
Asymmetric unit:
1 Pd 0.0969 0.0000 0.1630 (multiplicity 4)
2 Pt 0.0000 0.5000 0.5000 (multiplicity 2)
3 Pt 0.1476 0.2521 0.8068 (multiplicity 8)
4 Rh 0.1048 0.5000 0.1478 (multiplicity 4)
5 Rh 0.2319 0.0000 0.5052 (multiplicity 4)

Properties
Energy relative to the elements (eV per atom): 0.17

=====

12.
Here is crystalline La3Nd6Y2Er at its relaxed geometry from Alexandria via LeMat-Bulk. Energies are from PBE.

Unit cell a=6.3544 b=11.0170 c=12.1201 alpha=90.00 beta=100.10 gamma=90.00
Space group C2/m (No. 12)
Asymmetric unit:
1 La 0.0000 0.0000 0.0000 (multiplicity 2)
2 La 0.0000 0.3336 0.0000 (multiplicity 4)
3 Nd 0.2476 0.3339 0.7441 (multiplicity 8)
4 Nd 0.2493 0.0000 0.7441 (multiplicity 4)
5 Y 0.0000 0.1667 0.5000 (multiplicity 4)
6 Er 0.0000 0.5000 0.5000 (multiplicity 2)

Properties
Energy relative to the elements (eV per atom): 0.02

=====

13.
Here is crystalline NdAl4In at its relaxed geometry from Alexandria via LeMat-Bulk. Energies are from PBE.

Unit cell a=7.9803 b=7.9803 c=7.9803 alpha=90.00 beta=90.00 gamma=90.00
Space group F-43m (No. 216)
Asymmetric unit:
1 Nd 0.0000 0.0000 0.0000 (multiplicity 4)
2 Al 0.1252 0.1252 0.3748 (multiplicity 16)
3 In 0.2500 0.2500 0.7500 (multiplicity 4)

Properties
Energy relative to the elements (eV per atom): -0.17

=====

14.
Here is crystalline Ca2TmZn2Pd5 at its relaxed geometry from Alexandria via LeMat-Bulk. Energies are from PBE.

Unit cell a=10.1442 b=10.1442 c=3.7099 alpha=90.00 beta=90.00 gamma=90.00
Space group P4/mbm (No. 127)
Asymmetric unit:
1 Ca 0.1741 0.3259 0.0000 (multiplicity 4)
2 Tm 0.0000 0.0000 0.0000 (multiplicity 2)
3 Zn 0.1226 0.6226 0.0000 (multiplicity 4)
4 Pd 0.0000 0.5000 0.5000 (multiplicity 2)
5 Pd 0.0681 0.7910 0.5000 (multiplicity 8)

Properties
Energy relative to the elements (eV per atom): -0.71

=====

15.
Here is crystalline Nb2GeP2 at its relaxed geometry from Alexandria via LeMat-Bulk. Energies are from PBE.

Unit cell a=7.1300 b=7.1300 c=3.2186 alpha=90.00 beta=90.00 gamma=90.00
Space group P4/mbm (No. 127)
Asymmetric unit:
1 Nb 0.1517 0.3483 0.0000 (multiplicity 4)
2 Ge 0.0000 0.0000 0.0000 (multiplicity 2)
3 P 0.1368 0.6368 0.5000 (multiplicity 4)

Properties
Energy relative to the elements (eV per atom): -0.51

=====

16.
Here is crystalline Be2HgIr at its relaxed geometry from Alexandria via LeMat-Bulk. Energies are from PBE.

Unit cell a=3.9978 b=3.9978 c=15.6663 alpha=90.00 beta=90.00 gamma=90.00
Space group I-42d (No. 122)
Asymmetric unit:
1 Be 0.1055 0.2500 0.1250 (multiplicity 8)
2 Hg 0.0000 0.0000 0.5000 (multiplicity 4)
3 Ir 0.0000 0.0000 0.0000 (multiplicity 4)

Properties
Energy relative to the elements (eV per atom): 0.32

=====

17.
Here is crystalline NdHPd at its relaxed geometry from Alexandria via LeMat-Bulk. Energies are from PBE.

Unit cell a=4.0715 b=4.0715 c=3.6463 alpha=90.00 beta=90.00 gamma=120.00
Space group P3m1 (No. 156)
Asymmetric unit:
1 Nd 0.0000 0.0000 0.0000 (multiplicity 1)
2 H 0.3333 0.6667 0.5052 (multiplicity 1)
3 Pd 0.6667 0.3333 0.5005 (multiplicity 1)

Properties
Energy above the most stable polymorph in this dataset (eV per atom): 0.281

=====

18.
Here is crystalline LiTc2Sb at its relaxed geometry from Alexandria via LeMat-Bulk. Energies are from PBE.

Unit cell a=3.4788 b=4.1393 c=4.3375 alpha=90.00 beta=90.00 gamma=90.00
Space group Pmmm (No. 47)
Asymmetric unit:
1 Li 0.0000 0.0000 0.0000 (multiplicity 1)
2 Tc 0.0000 0.5000 0.5000 (multiplicity 1)
3 Tc 0.5000 0.0000 0.5000 (multiplicity 1)
4 Sb 0.5000 0.5000 0.0000 (multiplicity 1)

Properties
Formation energy (no corrections) (kJ per mole of atoms): 25.10

=====

19.
Here is crystalline NdYRhAu at its relaxed geometry from Alexandria via LeMat-Bulk. Energies are from PBE.

Unit cell a=7.1646 b=7.1646 c=7.1646 alpha=90.00 beta=90.00 gamma=90.00
Space group F-43m (No. 216)
Asymmetric unit:
1 Nd 0.0000 0.0000 0.0000 (multiplicity 4)
2 Y 0.0000 0.0000 0.5000 (multiplicity 4)
3 Rh 0.2500 0.2500 0.2500 (multiplicity 4)
4 Au 0.2500 0.2500 0.7500 (multiplicity 4)

Properties
Energy relative to the elements (eV per atom): -0.74
Energy above the most stable polymorph in this dataset (eV per atom): 0.051

=====

20.
Here is crystalline Ce2PmSmSb5 at its relaxed geometry from Alexandria via LeMat-Bulk. Energies are from PBE.

Unit cell a=5.3681 b=5.3681 c=11.7630 alpha=90.00 beta=90.00 gamma=90.00
Space group P4/mmm (No. 123)
Asymmetric unit:
1 Ce 0.0000 0.0000 0.2165 (multiplicity 2)
2 Pm 0.5000 0.5000 0.5000 (multiplicity 1)
3 Sm 0.5000 0.5000 0.0000 (multiplicity 1)
4 Sb 0.0000 0.0000 0.5000 (multiplicity 1)
5 Sb 0.0000 0.5000 0.0000 (multiplicity 2)
6 Sb 0.5000 0.5000 0.2520 (multiplicity 2)

Properties
Formation energy (no corrections) (kJ per mole of atoms): -21.74

=====

no.,total energy (eV/atom)
1,-2.015
2,-5.637
3,-5.486
4,-3.187
5,-2.864
6,-3.943
7,-5.557
8,-4.035
9,-5.898
10,-4.518
11,-6.194
12,-5.055
13,-3.921
14,-4.412
15,-7.622
16,-3.836
17,-4.817
18,-6.432
19,-6.205
20,-4.886